Model one:
La2Ta2Tl: relaxed, PBE.

calculated volume	281	Å³/cell

extended XYZ file:
```
10
Lattice="-2.9553 8.7608 -1.7509 -6.9283 -3.4118 -5.3768 -1.9039 -0.1348 2.5389" Properties=species:S:1:pos:R:3 pbc="T T T"
Ta -8.9806 2.0572 -4.6385
Ta -2.8069 3.1570 0.0497
Ta -5.3547 -1.2653 -2.0958
Ta -6.4328 6.4795 -2.4930
La -7.2157 4.6153 -5.1660
La -2.6679 0.7337 -1.9617
La -6.4251 -0.1034 -4.8237
La -3.4585 5.4524 -2.3040
Tl -4.9418 2.6745 -3.5639
Tl 0.0000 0.0000 0.0000
```

=====

Model two:
La2Ta2Tl: relaxed, PBE.

calculated volume	147	Å³/cell

extended XYZ file:
```
5
Lattice="3.8166 0.0000 0.0000 0.0000 3.8166 0.0000 1.9083 1.9083 10.0787" Properties=species:S:1:pos:R:3 pbc="T T T"
Tl 0.0000 0.0000 0.0000
La 3.8166 3.8166 7.7948
La 1.9083 1.9083 2.2839
Ta 3.8166 1.9083 5.0394
Ta 1.9083 3.8166 5.0394
```

=====

Q: Which of them is the most stable? A: model two.

=====

Model one:
La2TaV: relaxed, PBE.

calculated volume	104	Å³/cell

extended XYZ file:
```
4
Lattice="0.0000 3.7339 3.7339 3.7339 0.0000 3.7339 3.7339 3.7339 0.0000" Properties=species:S:1:pos:R:3 pbc="T T T"
La 5.6008 5.6008 5.6008
La 1.8669 1.8669 1.8669
V 0.0000 0.0000 0.0000
Ta 3.7339 3.7339 3.7339
```

=====

Model two:
La2TaV: relaxed, PBE.

calculated volume	207	Å³/cell

extended XYZ file:
```
8
Lattice="8.2412 0.0000 0.0000 0.0000 8.2412 0.0000 4.1206 4.1206 3.0522" Properties=species:S:1:pos:R:3 pbc="T T T"
Ta 8.2412 4.1206 1.5261
Ta 0.0000 0.0000 0.0000
La 6.1809 6.3316 2.2891
La 2.2110 6.1809 0.7630
La 6.0302 2.0603 0.7630
La 10.3015 10.1508 2.2891
V 4.1206 8.2412 1.5261
V 4.1206 4.1206 0.0000
```

=====

Q: Which of them is the most stable? A: model one.

=====

Model one:
LaTa2W: relaxed, PBE.

calculated volume	81	Å³/cell

extended XYZ file:
```
4
Lattice="-1.4367 5.3864 1.6442 -2.7313 -2.8186 -4.2868 -1.8543 -1.0700 1.8850" Properties=species:S:1:pos:R:3 pbc="T T T"
Ta -2.0840 1.2839 -1.3213
Ta 0.0000 0.0000 0.0000
W -1.6455 2.1582 1.7646
La -2.2928 -1.9443 -1.2009
```

=====

Model two:
LaTa2W: relaxed, PBE.

calculated volume	86	Å³/cell

extended XYZ file:
```
4
Lattice="-0.3316 -2.5302 1.2861 4.6304 -0.4689 0.2712 -0.0404 2.9366 5.7669" Properties=species:S:1:pos:R:3 pbc="T T T"
La 2.1192 0.6906 5.0798
W -0.0181 1.3131 2.5787
Ta -0.0020 0.1487 0.2920
Ta 2.1390 -0.7467 2.2573
```

=====

Q: Which of them is the most stable? A: model two.

=====

Model one:
LaTa2W: relaxed, PBE.

calculated volume	85	Å³/cell

extended XYZ file:
```
4
Lattice="4.4577 0.0000 0.0000 0.0000 2.9437 0.0092 0.0000 1.4061 6.4500" Properties=species:S:1:pos:R:3 pbc="T T T"
La 2.2289 3.2624 4.8444
Ta 0.0000 1.9626 2.8961
Ta 0.0000 0.2123 0.3336
W 2.2289 1.0875 1.6148
```

=====

Model two:
LaTa2W: relaxed, PBE.

calculated volume	86	Å³/cell

extended XYZ file:
```
4
Lattice="-2.7573 -0.5177 3.5597 0.4190 -2.9148 -0.0994 5.2959 -1.1046 3.9414" Properties=species:S:1:pos:R:3 pbc="T T T"
La 2.8538 -3.2001 4.6305
Ta 0.1052 -1.3510 2.7704
Ta 0.3217 -0.1036 0.2341
W 2.5343 -1.8921 1.6878
```

=====

Q: Which of them is the most stable? A: model one.

=====

Model one:
LaTa2W: relaxed, PBE.

calculated volume	80	Å³/cell

extended XYZ file:
```
4
Lattice="3.2044 0.0000 0.0000 0.0000 5.1364 0.0000 0.0000 0.0000 4.8673" Properties=species:S:1:pos:R:3 pbc="T T T"
Ta 0.0000 0.0000 0.0000
Ta 1.6022 2.5682 0.0000
La 0.0000 2.5682 2.4336
W 1.6022 0.0000 2.4336
```

=====

Model two:
LaTa2W: relaxed, PBE.

calculated volume	81	Å³/cell

extended XYZ file:
```
4
Lattice="-1.2912 0.6467 2.5654 1.3711 -2.6051 0.0133 8.5732 4.5283 3.1735" Properties=species:S:1:pos:R:3 pbc="T T T"
Ta 2.2602 0.1935 2.1112
Ta 0.2740 0.1447 0.1014
W 4.0316 2.1295 1.4924
La 6.3738 2.3663 3.6339
```

=====

Model three:
LaTa2W: relaxed, PBE.

calculated volume	79	Å³/cell

extended XYZ file:
```
4
Lattice="3.2140 0.0000 0.0000 0.0000 4.9525 0.0000 0.0000 0.0000 4.9525" Properties=species:S:1:pos:R:3 pbc="T T T"
Ta 0.0000 2.4762 2.4762
Ta 0.0000 0.0000 0.0000
W 1.6070 2.4762 0.0000
La 1.6070 0.0000 2.4762
```

=====

Q: Which of them is the most stable? A: model two.

=====

Model one:
LaTa2W: relaxed, PBE.

calculated volume	86	Å³/cell

extended XYZ file:
```
4
Lattice="4.6797 -0.0095 -0.0102 3.6535 2.9243 -0.0102 0.6701 0.2344 6.2986" Properties=species:S:1:pos:R:3 pbc="T T T"
Ta 4.3995 1.5388 3.4810
Ta 0.7723 0.2701 5.9566
La 2.2508 0.7873 1.5695
W 6.7525 2.3619 4.7086
```

=====

Model two:
LaTa2W: relaxed, PBE.

calculated volume	84	Å³/cell

extended XYZ file:
```
4
Lattice="-4.2352 5.8967 -6.6553 -2.9808 3.7355 -8.6117 -5.8110 3.2123 -7.2743" Properties=species:S:1:pos:R:3 pbc="T T T"
La -9.7702 9.6334 -16.9059
Ta -12.8444 12.6644 -22.2252
Ta -6.6961 6.6023 -11.5866
W -3.2567 3.2111 -5.6353
```

=====

Q: Which of them is the most stable? A: model two.